No. 1
Entry from Alexandria: a relaxed structure of CrCdSi2 (PBE-GGA).

Output
symmetry	No. 6

Unit cell a=3.7184 b=2.8926 c=6.9695 alpha=65.55 beta=90.00 gamma=90.00
Site moments in Bohr magnetons follow the coordinates.
Element x y z (fractional)
Cd 0.0000 0.6174 0.5083  -0.02
Cr 0.5000 0.7523 0.8722  1.42
Si 0.0000 0.1977 0.9269  -0.05
Si 0.5000 0.9326 0.1927  -0.02


No. 2
Entry from Alexandria: a relaxed structure of Cr2CdSi (PBE-GGA).

Output
symmetry	No. 10

Unit cell a=3.7585 b=2.7682 c=5.9975 alpha=69.06 beta=90.00 gamma=90.00
Element x y z (fractional)
Si 0.5000 0.2500 0.2500
Cr 0.0000 0.0024 0.0669
Cr 0.0000 0.4976 0.4331
Cd 0.5000 0.7500 0.7500


No. 3
Entry from Alexandria: a relaxed structure of Cr2CdSi (PBE-GGA).

Output
symmetry	No. 12

Unit cell a=4.6421 b=4.6421 c=5.0623 alpha=74.85 beta=74.85 gamma=35.75
Site moments in Bohr magnetons follow the coordinates.
Element x y z (fractional)
Si 0.7500 0.7500 0.7500  -0.07
Cd 0.2500 0.2500 0.2500  -0.01
Cr 0.4753 0.4753 0.5502  1.98
Cr 0.0247 0.0247 0.9498  1.98


Energy relative to the elements, uncorrected per entry: 0.26, 0.26, 0.45 eV/atom
Final energy per entry: -5.084, -6.133, -5.946 eV per atom